1.
# SnTeIr

Crystalline SnTeIr at its relaxed geometry (PBE, Alexandria).

POSCAR file:
```
SnTeIr
1.0
6.5466 0.0000 -0.0206
0.0000 3.2497 0.0000
-2.2034 0.0000 6.7693
Ir Te Sn
2 2 2
direct
0.9395 0.0000 0.8737
0.9395 0.5000 0.3737
0.6857 0.0000 0.1068
0.6857 0.5000 0.6068
0.2242 0.0000 0.2554
0.2242 0.5000 0.7554
```

E_tot in Ry/atom: -0.390
Space-group type: Cm (8)
Total magnetization in Bohr magnetons per cell: 0.0
DOS at the Fermi energy in states/eV per cell: 3.750
Formation energy without anion corrections in eV per atom: 0.03

***

2.
# ScAg3Ir

Crystalline ScAg3Ir at its relaxed geometry (PBE, Alexandria).

POSCAR file:
```
ScAg3Ir
1.0
4.8443 0.0000 0.0000
0.0000 4.8443 0.0000
0.0000 0.0000 4.8443
Sc Ir Ag
1 1 3
direct
0.0000 0.0000 0.0000
0.5000 0.5000 0.5000
0.0000 0.5000 0.0000
0.0000 0.0000 0.5000
0.5000 0.0000 0.0000
```

E_tot in Ry/atom: -0.232
Space-group type: Pm-3m (221)
Total magnetization in Bohr magnetons per cell: 0.0
DOS at the Fermi energy in states/eV per cell: 5.290
Formation energy in eV/atom: 1.5970

***

3.
# PrNdRuPt

Crystalline PrNdRuPt at its relaxed geometry (PBE, Alexandria).

POSCAR file:
```
PrNdRuPt
1.0
5.0582 0.0000 0.0000
2.5291 4.3805 0.0000
2.5291 1.4602 4.1300
Pr Ru Nd Pt
1 1 1 1
direct
0.0000 0.0000 0.0000
0.2500 0.2500 0.2500
0.5000 0.5000 0.5000
0.7500 0.7500 0.7500
```

E_tot in Ry/atom: -0.496
Space-group type: F-43m (216)
Total magnetization in Bohr magnetons per cell: 0.0
DOS at the Fermi energy in states/eV per cell: 3.454
Formation energy in eV/atom: -0.5274

***

4.
# RbSr2Ir

Crystalline RbSr2Ir at its relaxed geometry (PBE, Alexandria).

POSCAR file:
```
RbSr2Ir
1.0
-5.9789 3.5188 -5.6651
-2.5970 -8.2364 -2.3750
-8.5550 -2.3191 0.5080
Sr Ir Rb
4 2 2
direct
0.8552 0.1250 0.2500
0.8948 0.6250 0.2500
0.3750 0.1448 0.7500
0.8750 0.1052 0.7500
0.0000 0.0000 0.0000
0.7500 0.2500 0.5000
0.5000 0.5000 0.0000
0.2500 0.7500 0.5000
```

E_tot in Ry/atom: -0.219
Space-group type: I-42d (122)
Total magnetization in Bohr magnetons per cell: 0.0
DOS at the Fermi energy in states/eV per cell: 10.490
Formation energy in eV/atom: 0.3183

***

5.
# KCdIr

Crystalline KCdIr at its relaxed geometry (PBE, Alexandria).

POSCAR file:
```
KCdIr
1.0
-4.4575 0.2881 -4.6655
-2.8260 -4.6617 -3.4644
1.5424 2.9921 5.5125
Cd Ir K
1 1 1
direct
0.9404 0.9404 0.0000
0.3914 0.3914 0.0000
0.6682 0.6682 0.0000
```

E_tot in Ry/atom: -0.238
Space-group type: Imm2 (44)
Total magnetization in Bohr magnetons per cell: 0.0
DOS at the Fermi energy in states/eV per cell: 2.080
Formation energy in eV/atom: 0.3816

***

6.
# La6Tl5Bi

Crystalline La6Tl5Bi at its relaxed geometry (PBE, Alexandria).

POSCAR file:
```
La6Tl5Bi
1.0
-4.9833 1.4507 -2.3218
1.8924 -9.2215 -2.8706
-0.5235 2.3477 9.5431
Tl Bi La
5 1 6
direct
0.5000 0.1747 0.8253
0.0000 0.3358 0.6642
0.5000 0.5000 0.5000
0.0000 0.6642 0.3358
0.5000 0.8253 0.1747
0.0000 0.0000 0.0000
0.2468 0.0814 0.4122
0.7532 0.5878 0.9186
0.7443 0.2445 0.2445
0.2557 0.7555 0.7555
0.2468 0.4122 0.0814
0.7532 0.9186 0.5878
```

E_tot in Ry/atom: -0.313
Space-group type: C2/m (12)
Total magnetization in Bohr magnetons per cell: 0.0
DOS at the Fermi energy in states/eV per cell: 7.165
Formation energy in eV/atom: -0.4880

***

7.
# Ni2SbAs

Crystalline Ni2SbAs at its relaxed geometry (PBE, Alexandria).

POSCAR file:
```
Ni2SbAs
1.0
4.2268 -0.0112 0.3393
3.0561 2.9199 0.3393
1.4877 0.5942 6.0313
As Ni Sb
1 2 1
direct
0.2420 0.2420 0.1069
0.9844 0.9844 0.9900
0.7526 0.7526 0.7994
0.5210 0.5210 0.6037
```

E_tot in Ry/atom: -0.383
Space-group type: Cm (8)
Total magnetization in Bohr magnetons per cell: 0.0
DOS at the Fermi energy in states/eV per cell: 1.897
Formation energy without anion corrections in eV per atom: -0.12

***

8.
# Pr2Ga12Ni

Crystalline Pr2Ga12Ni at its relaxed geometry (PBE, Alexandria).

POSCAR file:
```
Pr2Ga12Ni
1.0
6.1107 0.0000 0.0000
0.0000 6.1107 0.0000
0.0000 0.0000 15.4619
Pr Ga Ni
4 24 2
direct
0.5000 0.0000 0.2424
0.0000 0.5000 0.2424
0.0000 0.5000 0.7576
0.5000 0.0000 0.7576
0.5000 0.5000 0.8170
0.0000 0.0000 0.8170
0.7503 0.7497 0.9166
0.2503 0.7503 0.9166
0.0000 0.0000 0.3433
0.2497 0.7497 0.0834
0.8306 0.3306 0.5694
0.5000 0.5000 0.3433
0.2497 0.2503 0.9166
0.7497 0.7503 0.0834
0.3306 0.1694 0.5694
0.6694 0.1694 0.4306
0.0000 0.0000 0.6567
0.1694 0.3306 0.4306
0.2503 0.2497 0.0834
0.8306 0.6694 0.4306
0.6694 0.8306 0.5694
0.0000 0.0000 0.1830
0.1694 0.6694 0.5694
0.5000 0.5000 0.6567
0.7497 0.2497 0.9166
0.5000 0.5000 0.1830
0.3306 0.8306 0.4306
0.7503 0.2503 0.0834
0.5000 0.0000 0.0000
0.0000 0.5000 0.0000
```

E_tot in Ry/atom: -0.283
Space-group type: P4/nbm (125)
Total magnetization in Bohr magnetons per cell: 0.0
DOS at the Fermi energy in states/eV per cell: 11.073
Formation energy in eV/atom: -0.4039